# 1
Below is MgBeRh2 after structural relaxation, with properties calculated at the GGA-PBE level.

a = 2.9096 Å, b = 2.9096 Å, c = 21.9847 Å
α = 90.00°, β = 90.00°, γ = 120.00°
Closest atoms and distances in Å follow each position.
Space group R-3m (No. 166, hexagonal axes)
Asymmetric unit:
Mg 0.0000 0.0000 0.0000 [3 per cell]  6 Rh 2.71, 6 Mg 2.91
Be 0.0000 0.0000 0.5000 [3 per cell]  6 Rh 2.27
Rh 0.0000 0.0000 0.2364 [6 per cell]  3 Be 2.27

Energy above the most stable polymorph in this dataset = 124.5 meV per atom
Energy relative to the elements = -1.45 eV per formula unit

---

# 2
Below is MnNi3Te6 after structural relaxation, with properties calculated at the GGA-PBE level.

a = 6.4813 Å, b = 6.8698 Å, c = 6.8894 Å
α = 95.37°, β = 108.28°, γ = 113.26°
Closest atoms and distances in Å follow each position.
Space group P-1 (No. 2)
Asymmetric unit:
Mn 0.0000 0.0000 0.0000 [1 per cell]  6 Te 2.64-2.76
Ni 0.0000 0.5000 0.5000 [1 per cell]  4 Te 2.56-2.63
Ni 0.5000 0.0000 0.0000 [1 per cell]  4 Te 2.50-2.55
Ni 0.5000 0.5000 0.0000 [1 per cell]  4 Te 2.48-2.51
Te 0.0481 0.3665 0.8496 [2 per cell]  2 Ni 2.51-2.63, 1 Mn 2.75
Te 0.1163 0.8897 0.6871 [2 per cell]  2 Ni 2.50-2.56, 1 Mn 2.64
Te 0.4771 0.2734 0.2601 [2 per cell]  2 Ni 2.48-2.55, 1 Mn 2.76

Uncorrected formation energy = -51 meV/atom

---

# 3
Below is YC after structural relaxation, with properties calculated at the GGA-PBE level.

a = 11.4937 Å, b = 3.4528 Å, c = 5.7536 Å
α = 90.00°, β = 116.08°, γ = 90.00°
Closest atoms and distances in Å follow each position.
Space group Cm (No. 8)
Asymmetric unit:
Y 0.0000 0.0000 0.0000 [2 per cell]  6 C 2.46-2.58
Y 0.1518 0.5000 0.6608 [2 per cell]  1 C 2.34
Y 0.3320 0.5000 0.3279 [2 per cell]  4 C 2.50-2.70
C 0.3264 0.0000 0.9632 [2 per cell]  1 C 1.46
C 0.3395 0.0000 0.7229 [2 per cell]  2 C 1.44-1.46
C 0.4491 0.0000 0.6652 [2 per cell]  1 C 1.44

Energy above the most stable polymorph in this dataset = 0.0 meV per atom
Energy relative to the elements = -0.43 eV per formula unit

---

# 4
Below is Pr2Sm2Er2Mg after structural relaxation, with properties calculated at the GGA-PBE level.

a = 12.2965 Å, b = 3.7065 Å, c = 11.7074 Å
α = 90.00°, β = 119.84°, γ = 90.00°
Closest atoms and distances in Å follow each position.
Space group C2/m (No. 12)
Asymmetric unit:
Pr 0.0256 0.0000 0.2424 [4 per cell]  2 Mg 3.27, 3 Sm 3.52-3.64, 3 Er 3.56-3.59
Sm 0.1806 0.0000 0.5892 [4 per cell]  4 Pr 3.52-3.91, 2 Er 3.55, 5 Sm 3.71-3.85
Er 0.2427 0.0000 0.1213 [4 per cell]  2 Mg 3.18, 2 Er 3.47, 2 Sm 3.55, 2 Pr 3.56
Mg 0.0000 0.5000 0.0000 [2 per cell]  4 Er 3.18, 4 Pr 3.27

Energy relative to the elements = 0.57 eV per formula unit

---

# 5
Below is Li2CaRe after structural relaxation, with properties calculated at the GGA-PBE level.

a = 4.0472 Å, b = 4.0472 Å, c = 8.9022 Å
α = 90.00°, β = 90.00°, γ = 90.00°
Closest atoms and distances in Å follow each position.
Space group I-4m2 (No. 119)
Asymmetric unit:
Li 0.0000 0.0000 0.0000 [2 per cell]  4 Ca 2.86, 4 Re 3.01, 4 Li 3.01
Li 0.0000 0.5000 0.2500 [2 per cell]  4 Re 2.86, 4 Li 3.01, 4 Ca 3.01
Ca 0.0000 0.0000 0.5000 [2 per cell]  8 Li 2.86-3.01, 4 Re 3.01
Re 0.0000 0.5000 0.7500 [2 per cell]  8 Li 2.86-3.01, 4 Ca 3.01

Energy above the most stable polymorph in this dataset = 353.3 meV per atom
Energy relative to the elements = 3.30 eV per formula unit

---

# 6
Below is Ba2PrP2Br2 after structural relaxation, with properties calculated at the GGA-PBE level.

a = 5.5162 Å, b = 5.5162 Å, c = 16.7542 Å
α = 90.00°, β = 90.00°, γ = 90.00°
Closest atoms and distances in Å follow each position.
Space group I4/mmm (No. 139)
Asymmetric unit:
Ba 0.0000 0.0000 0.1189 [4 per cell]  1 Br 3.29, 4 P 3.40
Pr 0.0000 0.0000 0.5000 [2 per cell]  4 P 2.76
P 0.0000 0.5000 0.0000 [4 per cell]  2 Pr 2.76
Br 0.0000 0.0000 0.3154 [4 per cell]  1 Pr 3.09, 1 Ba 3.29

Uncorrected formation energy = -1426 meV/atom

---

# 7
Below is BaSc after structural relaxation, with properties calculated at the GGA-PBE level.

a = 3.7105 Å, b = 3.7105 Å, c = 18.2922 Å
α = 90.00°, β = 90.00°, γ = 120.00°
Closest atoms and distances in Å follow each position.
Space group R-3m (No. 166, hexagonal axes)
Asymmetric unit:
Ba 0.0000 0.0000 0.0000 [3 per cell]  6 Ba 3.71, 6 Sc 3.73
Sc 0.0000 0.0000 0.5000 [3 per cell]  6 Sc 3.71, 6 Ba 3.73

Energy above the most stable polymorph in this dataset = 222.2 meV per atom
Energy relative to the elements = 0.92 eV per formula unit

---

# 8
Below is Gd2ZnI after structural relaxation, with properties calculated at the GGA-PBE level.

a = 3.6375 Å, b = 3.6375 Å, c = 8.1986 Å
α = 90.00°, β = 90.00°, γ = 90.00°
Closest atoms and distances in Å follow each position.
Space group P4/mmm (No. 123)
Asymmetric unit:
Gd 0.0000 0.0000 0.2146 [2 per cell]  4 Zn 3.12, 4 I 3.48
Zn 0.5000 0.5000 0.0000 [1 per cell]  8 Gd 3.12
I 0.5000 0.5000 0.5000 [1 per cell]  8 Gd 3.48, 4 I 3.64

Energy above the most stable polymorph in this dataset = 28.6 meV per atom
Uncorrected formation energy = -496 meV/atom

---

# 9
Below is ErCoSi2Os after structural relaxation, with properties calculated at the GGA-PBE level.

a = 4.0164 Å, b = 4.0164 Å, c = 9.7280 Å
α = 90.00°, β = 90.00°, γ = 90.00°
Closest atoms and distances in Å follow each position.
Space group I-4m2 (No. 119)
Asymmetric unit:
Er 0.0000 0.0000 0.0000 [2 per cell]  8 Si 3.10, 4 Co 3.15, 4 Os 3.15
Co 0.0000 0.5000 0.2500 [2 per cell]  4 Si 2.34
Si 0.0000 0.0000 0.3735 [4 per cell]  2 Co 2.34, 2 Os 2.34, 1 Si 2.46
Os 0.0000 0.5000 0.7500 [2 per cell]  4 Si 2.34

Uncorrected formation energy = -778 meV/atom

---

# 10
Below is Ce2TmRh3 after structural relaxation, with properties calculated at the GGA-PBE level.

a = 12.5504 Å, b = 5.6831 Å, c = 7.8487 Å
α = 90.00°, β = 108.30°, γ = 90.00°
Closest atoms and distances in Å follow each position.
Space group C2/c (No. 15)
Asymmetric unit:
Ce 0.1676 0.0153 0.0820 [8 per cell]  6 Rh 2.77-2.85
Tm 0.0000 0.4343 0.2500 [4 per cell]  6 Rh 2.81-2.85
Rh 0.0000 0.0675 0.7500 [4 per cell]  4 Ce 2.80-2.85, 2 Tm 2.83-2.85
Rh 0.1662 0.4832 0.5869 [8 per cell]  4 Ce 2.77-2.85, 2 Tm 2.81-2.82

Energy relative to the elements = -4.22 eV per formula unit

---

# 11
Below is U2OsRu after structural relaxation, with properties calculated at the GGA-PBE level.

a = 4.4907 Å, b = 4.4907 Å, c = 3.7704 Å
α = 90.00°, β = 90.00°, γ = 90.00°
Closest atoms and distances in Å follow each position.
Space group P4/mmm (No. 123)
Asymmetric unit:
U 0.0000 0.5000 0.0000 [2 per cell]  4 Ru 2.93, 4 Os 2.93, 4 U 3.18
Os 0.0000 0.0000 0.5000 [1 per cell]  8 U 2.93, 4 Ru 3.18
Ru 0.5000 0.5000 0.5000 [1 per cell]  8 U 2.93, 4 Os 3.18

Energy relative to the elements = -0.24 eV per formula unit

---

# 12
Below is SrIn2Sb after structural relaxation, with properties calculated at the GGA-PBE level.

a = 4.7823 Å, b = 4.7823 Å, c = 5.1712 Å
α = 90.00°, β = 90.00°, γ = 90.00°
Closest atoms and distances in Å follow each position.
Space group P4/mmm (No. 123)
Asymmetric unit:
Sr 0.0000 0.0000 0.0000 [1 per cell]  4 Sb 3.38, 8 In 3.52
In 0.0000 0.5000 0.5000 [2 per cell]  4 In 3.38, 4 Sb 3.52, 4 Sr 3.52
Sb 0.5000 0.5000 0.0000 [1 per cell]  4 Sr 3.38, 8 In 3.52

Uncorrected formation energy = -432 meV/atom